# 1
Compound: TiCoAs2Ir
Source: Alexandria
Functional: GGA-PBE
Structure: optimized geometry

Results
Space-group type   P4/mmm
Size of the total moment   0.005 Bohr magnetons per cell
Energy of formation from the pure elements   0.61 eV/atom
Density   8.3 g cm⁻³
Crystal system   tetragonal
DOS(E_F)   7.15 states/eV per cell

Lattice parameters (Å, degrees): 4.4317 4.4317 4.5704 90.00 90.00 90.00
Element x y z (fractional)
Ti 0.0000 0.0000 0.0000
Co 0.5000 0.5000 0.5000
As 0.0000 0.5000 0.5000
As 0.5000 0.0000 0.5000
Ir 0.5000 0.5000 0.0000

***

# 2
Compound: VCo2AsIr
Source: Alexandria
Functional: GGA-PBE
Structure: optimized geometry

Results
Space-group type   P4/mmm
Size of the total moment   1.560 Bohr magnetons per cell
Energy of formation from the pure elements   1.12 eV/atom
Density   9.3 g cm⁻³
Crystal system   tetragonal
DOS(E_F)   5.35 states/eV per cell

Lattice parameters (Å, degrees): 4.1430 4.1430 4.5399 90.00 90.00 90.00
Element x y z (fractional)
V 0.0000 0.0000 0.0000
Co 0.0000 0.5000 0.0000
Co 0.5000 0.0000 0.0000
As 0.0000 0.0000 0.5000
Ir 0.5000 0.5000 0.5000

***

# 3
Compound: ZrCo2AsIr
Source: Alexandria
Functional: GGA-PBE
Structure: optimized geometry

Results
Space-group type   P4/mmm
Size of the total moment   3.975 Bohr magnetons per cell
Energy of formation from the pure elements   0.69 eV/atom
Density   8.2 g cm⁻³
Crystal system   tetragonal
DOS(E_F)   5.33 states/eV per cell

Lattice parameters (Å, degrees): 4.5612 4.5612 4.6088 90.00 90.00 90.00
Element x y z (fractional)
Zr 0.0000 0.0000 0.0000
Co 0.0000 0.5000 0.5000
Co 0.5000 0.0000 0.5000
As 0.5000 0.5000 0.0000
Ir 0.5000 0.5000 0.5000

***

# 4
Compound: KCoAs
Source: Alexandria
Functional: GGA-PBE
Structure: optimized geometry

Results
Space-group type   F-43m
Size of the total moment   1.794 Bohr magnetons per cell
Energy of formation from the pure elements   1.44 eV/atom
Density   3.4 g cm⁻³
Crystal system   cubic
DOS(E_F)   12.89 states/eV per cell

Lattice parameters (Å, degrees): 4.9419 4.9419 4.9419 60.00 60.00 60.00
Element x y z (fractional)
K 0.0000 0.0000 0.0000
Co 0.7500 0.7500 0.7500
As 0.2500 0.2500 0.2500

***

# 5
Compound: KCoAs
Source: Alexandria
Functional: GGA-PBE
Structure: optimized geometry

Results
Space-group type   P2_1/m
Size of the total moment   0.000 Bohr magnetons per cell
Energy of formation from the pure elements   -0.34 eV/atom
Density   3.6 g cm⁻³
Crystal system   monoclinic
DOS(E_F)   4.17 states/eV per cell

Lattice parameters (Å, degrees): 3.8344 3.8420 10.9043 90.00 98.77 90.00
Element x y z (fractional)
K 0.1208 0.2500 0.2026
K 0.8792 0.7500 0.7974
Co 0.2497 0.7500 0.5001
Co 0.7503 0.2500 0.4999
As 0.3034 0.2500 0.6223
As 0.6966 0.7500 0.3777

***

# 6
Compound: KCoAs3
Source: Alexandria
Functional: GGA-PBE
Structure: optimized geometry

Results
Space-group type   Pm-3m
Size of the total moment   0.572 Bohr magnetons per cell
Energy of formation from the pure elements   2.24 eV/atom
Density   3.6 g cm⁻³
Crystal system   cubic
DOS(E_F)   19.61 states/eV per cell

Lattice parameters (Å, degrees): 5.3228 5.3228 5.3228 90.00 90.00 90.00
Element x y z (fractional)
K 0.0000 0.0000 0.0000
Co 0.5000 0.5000 0.5000
As 0.0000 0.0000 0.5000
As 0.0000 0.5000 0.0000
As 0.5000 0.0000 0.0000

***

# 7
Compound: KCoAs
Source: Alexandria
Functional: GGA-PBE
Structure: optimized geometry

Results
Space-group type   F-43m
Size of the total moment   2.603 Bohr magnetons per cell
Energy of formation from the pure elements   0.58 eV/atom
Density   4.2 g cm⁻³
Crystal system   cubic
DOS(E_F)   2.60 states/eV per cell

Lattice parameters (Å, degrees): 4.5835 4.5835 4.5835 60.00 60.00 60.00
Element x y z (fractional)
K 0.0000 0.0000 0.0000
Co 0.2500 0.2500 0.2500
As 0.5000 0.5000 0.5000

***

# 8
Compound: KCoAs
Source: Alexandria
Functional: GGA-PBE
Structure: optimized geometry

Results
Space-group type   I4mm
Size of the total moment   0.473 Bohr magnetons per cell
Energy of formation from the pure elements   0.03 eV/atom
Density   4.7 g cm⁻³
Crystal system   tetragonal
DOS(E_F)   1.53 states/eV per cell

Lattice parameters (Å, degrees): 6.4566 6.4566 6.4566 151.35 151.35 40.96
Element x y z (fractional)
K 0.0000 0.0000 0.0000
Co 0.2832 0.2832 0.0000
As 0.7145 0.7145 0.0000

***

# 9
Compound: KCo2As2
Source: Alexandria
Functional: GGA-PBE
Structure: optimized geometry

Results
Space-group type   I4/mmm
Size of the total moment   0.000 Bohr magnetons per cell
Energy of formation from the pure elements   -0.41 eV/atom
Density   5.2 g cm⁻³
Crystal system   tetragonal
DOS(E_F)   2.14 states/eV per cell

Lattice parameters (Å, degrees): 7.3928 7.3928 7.3928 150.32 150.32 42.48
Element x y z (fractional)
K 0.0000 0.0000 0.0000
Co 0.2500 0.7500 0.5000
Co 0.7500 0.2500 0.5000
As 0.3464 0.3464 0.0000
As 0.6536 0.6536 0.0000

***

# 10
Compound: K2CoAs2
Source: Alexandria
Functional: GGA-PBE
Structure: optimized geometry

Results
Space-group type   P4/mbm
Size of the total moment   5.210 Bohr magnetons per cell
Energy of formation from the pure elements   0.69 eV/atom
Density   3.4 g cm⁻³
Crystal system   tetragonal
DOS(E_F)   10.70 states/eV per cell

Lattice parameters (Å, degrees): 10.1710 10.1710 2.7219 90.00 90.00 90.00
Element x y z (fractional)
K 0.1331 0.3669 0.0000
K 0.3669 0.8669 0.0000
K 0.6331 0.1331 0.0000
K 0.8669 0.6331 0.0000
Co 0.0000 0.0000 0.0000
Co 0.5000 0.5000 0.0000
As 0.1659 0.6659 0.5000
As 0.3341 0.1659 0.5000
As 0.6659 0.8341 0.5000
As 0.8341 0.3341 0.5000

***

# 11
Compound: K2CoAs2
Source: Alexandria
Functional: GGA-PBE
Structure: optimized geometry

Results
Space-group type   P4/mbm
Size of the total moment   1.922 Bohr magnetons per cell
Energy of formation from the pure elements   -0.17 eV/atom
Density   4.3 g cm⁻³
Crystal system   tetragonal
DOS(E_F)   2.87 states/eV per cell

Lattice parameters (Å, degrees): 6.2982 6.2982 5.6080 90.00 90.00 90.00
Element x y z (fractional)
K 0.1739 0.3261 0.0000
K 0.3261 0.8261 0.0000
K 0.6739 0.1739 0.0000
K 0.8261 0.6739 0.0000
Co 0.0000 0.0000 0.5000
Co 0.5000 0.5000 0.5000
As 0.1460 0.6460 0.5000
As 0.3540 0.1460 0.5000
As 0.6460 0.8540 0.5000
As 0.8540 0.3540 0.5000

***

# 12
Compound: KCoAs3
Source: Alexandria
Functional: GGA-PBE
Structure: optimized geometry

Results
Space-group type   Pm-3m
Size of the total moment   0.000 Bohr magnetons per cell
Energy of formation from the pure elements   0.17 eV/atom
Density   4.9 g cm⁻³
Crystal system   cubic
DOS(E_F)   5.06 states/eV per cell

Lattice parameters (Å, degrees): 4.7728 4.7728 4.7728 90.00 90.00 90.00
Element x y z (fractional)
K 0.0000 0.0000 0.0000
Co 0.5000 0.5000 0.5000
As 0.0000 0.5000 0.5000
As 0.5000 0.0000 0.5000
As 0.5000 0.5000 0.0000